VASP calculation (PBE) on a relaxed structure of BeCo2Pt.

abc: 2.7560 4.1801 7.9574
angles: 90.00 90.00 90.00
With the nearest neighbours (Å) after each atom.
Space group Imm2 (No. 44)
One atom of each set of equivalent atoms:
1 Be 0.0000 0.0000 0.0000 [2 per cell]  2 Co 2.23, 2 Pt 2.31
2 Co 0.0000 0.0000 0.4845 [2 per cell]  4 Be 2.51, 4 Co 2.51-2.76, 4 Pt 2.64-2.71
3 Co 0.0000 0.5000 0.7203 [2 per cell]  2 Be 2.23
4 Pt 0.0000 0.5000 0.2672 [2 per cell]  2 Be 2.31, 4 Co 2.53

Computed properties:
Fermi-level density of states: 7.4 states/eV per cell
ΔE_f: -0.58 eV/f.u.
calculated total energy: -6.141 eV per atom
total magnetization: 6.21 Bohr magnetons per cell

=====

VASP calculation (PBE) on a relaxed structure of BeCo2Pt.

abc: 3.7383 3.7383 6.6409
angles: 90.00 90.00 90.00
With the nearest neighbours (Å) after each atom.
Space group I-4m2 (No. 119)
One atom of each set of equivalent atoms:
1 Be 0.0000 0.0000 0.0000 [2 per cell]  8 Co 2.50-2.64, 4 Pt 2.50
2 Co 0.0000 0.0000 0.5000 [2 per cell]  4 Co 2.50, 4 Pt 2.50, 4 Be 2.64
3 Co 0.0000 0.5000 0.7500 [2 per cell]  4 Be 2.50, 4 Co 2.50, 4 Pt 2.64
4 Pt 0.0000 0.5000 0.2500 [2 per cell]  4 Be 2.50, 8 Co 2.50-2.64

Computed properties:
Fermi-level density of states: 11.3 states/eV per cell
ΔE_f: -0.67 eV/f.u.
calculated total energy: -6.161 eV per atom
total magnetization: 6.62 Bohr magnetons per cell

=====

VASP calculation (PBE) on a relaxed structure of BeCoPt2.

abc: 2.7519 4.1825 8.7681
angles: 90.00 90.00 90.00
With the nearest neighbours (Å) after each atom.
Space group Imm2 (No. 44)
One atom of each set of equivalent atoms:
1 Be 0.0000 0.0000 0.0000 [2 per cell]  2 Co 2.32, 6 Pt 2.35-2.50
2 Co 0.0000 0.5000 0.7127 [2 per cell]  2 Be 2.32, 4 Pt 2.58
3 Pt 0.0000 0.0000 0.4972 [2 per cell]  4 Be 2.50, 2 Pt 2.75
4 Pt 0.0000 0.5000 0.2828 [2 per cell]  2 Be 2.35, 4 Co 2.58

Computed properties:
Fermi-level density of states: 7.8 states/eV per cell
ΔE_f: -1.16 eV/f.u.
calculated total energy: -6.019 eV per atom
total magnetization: 3.99 Bohr magnetons per cell

=====

VASP calculation (PBE) on a relaxed structure of BeCoPt.

abc: 2.7497 2.7497 9.0428
angles: 90.00 90.00 90.00
With the nearest neighbours (Å) after each atom.
Space group I4mm (No. 107)
One atom of each set of equivalent atoms:
1 Be 0.0000 0.0000 0.0000 [2 per cell]  4 Co 2.33, 4 Pt 2.41
2 Co 0.0000 0.0000 0.6415 [2 per cell]  4 Be 2.33
3 Pt 0.0000 0.0000 0.3431 [2 per cell]  4 Be 2.41, 4 Co 2.67

Computed properties:
Fermi-level density of states: 5.9 states/eV per cell
excess energy over the best structure of this formula in the dataset: 0 meV/atom
ΔE_f: -0.96 eV/f.u.
calculated total energy: -5.945 eV per atom
total magnetization: 3.17 Bohr magnetons per cell

=====

VASP calculation (PBE) on a relaxed structure of BeCo2Pt.

abc: 2.7187 2.7187 6.0961
angles: 90.00 90.00 90.00
With the nearest neighbours (Å) after each atom.
Space group P4mm (No. 99)
One atom of each set of equivalent atoms:
1 Be 0.0000 0.0000 0.0000 [1 per cell]  4 Co 2.32, 4 Pt 2.40
2 Co 0.0000 0.0000 0.4515 [1 per cell]  4 Co 2.41
3 Co 0.5000 0.5000 0.2124 [1 per cell]  4 Be 2.32, 4 Co 2.41
4 Pt 0.5000 0.5000 0.7634 [1 per cell]  4 Be 2.40

Computed properties:
Fermi-level density of states: 1.7 states/eV per cell
ΔE_f: -1.10 eV/f.u.
calculated total energy: -6.270 eV per atom
total magnetization: 3.16 Bohr magnetons per cell

=====

VASP calculation (PBE) on a relaxed structure of Be4CoPt.

abc: 6.0496 6.0496 6.0496
angles: 90.00 90.00 90.00
With the nearest neighbours (Å) after each atom.
Space group F-43m (No. 216)
One atom of each set of equivalent atoms:
1 Be 0.1243 0.1243 0.1243 [16 per cell]  6 Be 2.13-2.15
2 Co 0.2500 0.2500 0.7500 [4 per cell]  12 Be 2.51, 4 Pt 2.62
3 Pt 0.0000 0.0000 0.5000 [4 per cell]  12 Be 2.51, 4 Co 2.62

Computed properties:
Fermi-level density of states: 10.0 states/eV per cell
ΔE_f: -2.49 eV/f.u.
calculated total energy: -5.090 eV per atom
total magnetization: 0.00 Bohr magnetons per cell

=====

VASP calculation (PBE) on a relaxed structure of BeCo2Pt.

abc: 2.7210 3.9801 8.3207
angles: 90.00 90.00 90.00
With the nearest neighbours (Å) after each atom.
Space group Immm (No. 71)
One atom of each set of equivalent atoms:
1 Be 0.0000 0.0000 0.0000 [2 per cell]  4 Co 2.32, 4 Pt 2.41
2 Co 0.0000 0.5000 0.2734 [4 per cell]  2 Be 2.32, 4 Co 2.44
3 Pt 0.0000 0.0000 0.5000 [2 per cell]  4 Be 2.41, 4 Co 2.65

Computed properties:
Fermi-level density of states: 7.4 states/eV per cell
ΔE_f: -0.94 eV/f.u.
calculated total energy: -6.230 eV per atom
total magnetization: 6.69 Bohr magnetons per cell

=====

VASP calculation (PBE) on a relaxed structure of BeCoPt2.

abc: 2.7245 2.7245 24.1625
angles: 90.00 90.00 120.00
With the nearest neighbours (Å) after each atom.
Space group R-3m (No. 166, hexagonal axes)
One atom of each set of equivalent atoms:
1 Be 0.0000 0.0000 0.0000 [3 per cell]  6 Pt 2.42
2 Co 0.0000 0.0000 0.5000 [3 per cell]  6 Pt 2.70, 6 Co 2.72
3 Pt 0.0000 0.0000 0.2575 [6 per cell]  3 Be 2.42, 3 Co 2.70

Computed properties:
Fermi-level density of states: 13.6 states/eV per cell
ΔE_f: -1.10 eV/f.u.
calculated total energy: -6.002 eV per atom
total magnetization: 5.29 Bohr magnetons per cell

=====

VASP calculation (PBE) on a relaxed structure of BeCoPt2.

abc: 2.7168 3.8799 5.0398
angles: 90.00 105.62 90.00
With the nearest neighbours (Å) after each atom.
Space group Pm (No. 6)
One atom of each set of equivalent atoms:
1 Be 0.0000 0.0000 0.0000 [1 per cell]  2 Co 2.38, 5 Pt 2.50-2.51
2 Co 0.1464 0.5000 0.2846 [1 per cell]  2 Be 2.38, 7 Pt 2.56-2.65
3 Pt 0.4182 0.5000 0.8305 [1 per cell]  4 Be 2.50-2.51, 3 Co 2.59-2.65, 2 Pt 2.72
4 Pt 0.7464 0.0000 0.4842 [1 per cell]  3 Be 2.50-2.72, 4 Co 2.56, 2 Pt 2.72

Computed properties:
Fermi-level density of states: 2.8 states/eV per cell
ΔE_f: -1.12 eV/f.u.
calculated total energy: -6.009 eV per atom
total magnetization: 2.01 Bohr magnetons per cell

=====

VASP calculation (PBE) on a relaxed structure of BeCo2Pt.

abc: 2.6055 3.8369 4.7603
angles: 90.00 104.16 90.00
With the nearest neighbours (Å) after each atom.
Space group P2/m (No. 10)
One atom of each set of equivalent atoms:
1 Be 0.0000 0.0000 0.0000 [1 per cell]  4 Co 2.30, 2 Pt 2.38
2 Co 0.3891 0.5000 0.2226 [2 per cell]  2 Be 2.30, 3 Co 2.33-2.56
3 Pt 0.0000 0.0000 0.5000 [1 per cell]  2 Be 2.38, 2 Pt 2.61, 4 Co 2.63

Computed properties:
Fermi-level density of states: 3.2 states/eV per cell
ΔE_f: -0.49 eV/f.u.
calculated total energy: -6.116 eV per atom
total magnetization: 3.05 Bohr magnetons per cell

=====

VASP calculation (PBE) on a relaxed structure of Be4CoPt3.

abc: 2.7921 2.7921 11.0911
angles: 90.00 90.00 90.00
With the nearest neighbours (Å) after each atom.
Space group P4/mmm (No. 123)
One atom of each set of equivalent atoms:
1 Be 0.0000 0.0000 0.1033 [2 per cell]  4 Co 2.28, 1 Be 2.29, 4 Pt 2.49
2 Be 0.0000 0.0000 0.3681 [2 per cell]  8 Pt 2.43-2.46
3 Co 0.5000 0.5000 0.0000 [1 per cell]  8 Be 2.28
4 Pt 0.5000 0.5000 0.2403 [2 per cell]  8 Be 2.43-2.49, 1 Co 2.67
5 Pt 0.5000 0.5000 0.5000 [1 per cell]  8 Be 2.46

Computed properties:
Fermi-level density of states: 1.1 states/eV per cell
ΔE_f: -5.40 eV/f.u.
calculated total energy: -5.692 eV per atom
total magnetization: 0.00 Bohr magnetons per cell

=====

VASP calculation (PBE) on a relaxed structure of BeCoPt2.

abc: 2.7446 2.7446 6.7060
angles: 90.00 90.00 90.00
With the nearest neighbours (Å) after each atom.
Space group P4/mmm (No. 123)
One atom of each set of equivalent atoms:
1 Be 0.0000 0.0000 0.0000 [1 per cell]  8 Pt 2.44
2 Co 0.0000 0.0000 0.5000 [1 per cell]  8 Pt 2.69, 4 Co 2.74
3 Pt 0.5000 0.5000 0.2215 [2 per cell]  4 Be 2.44, 4 Co 2.69

Computed properties:
Fermi-level density of states: 2.7 states/eV per cell
ΔE_f: -1.69 eV/f.u.
calculated total energy: -6.150 eV per atom
total magnetization: 2.41 Bohr magnetons per cell

=====

Question: Which value of Fermi-level density of states does entry 5 give?
Answer: 1.7 states/eV per cell